Record 1
DFT (PBE) results for a relaxed Pm3Pr7Nd crystal.

Results
**Calculated density**: 6.45 g/cm³
**VASP energy**: -4.564 eV per atom

Cell: 13.0010 11.5406 6.0552 Å, 90.00 117.55 90.00°
Space group C2/m (No. 12)
Symmetry-distinct sites (fractional):
Pm: 0.0000 0.0000 0.0000 [2 per cell]
Pm: 0.0000 0.2063 0.5000 [4 per cell]
Pr: 0.0000 0.5000 0.5000 [2 per cell]
Pr: 0.1995 0.2034 0.1995 [8 per cell]
Pr: 0.2083 0.0000 0.7063 [4 per cell]
Nd: 0.0000 0.5000 0.0000 [2 per cell]

Record 2
DFT (PBE) results for a relaxed Pm5Pr2Nd3 crystal.

Results
**Calculated density**: 6.76 g/cm³
**VASP energy**: -4.590 eV per atom

Cell: 11.0244 17.0199 9.3369 Å, 90.00 126.18 90.00°
Space group C2/c (No. 15)
Symmetry-distinct sites (fractional):
Pm: 0.0000 0.0265 0.2500 [4 per cell]
Pm: 0.0000 0.2222 0.2500 [4 per cell]
Pm: 0.0000 0.2777 0.7500 [4 per cell]
Pm: 0.2499 0.1267 0.7510 [8 per cell]
Pr: 0.1465 0.3742 0.5419 [8 per cell]
Nd: 0.0000 0.4735 0.7500 [4 per cell]
Nd: 0.1451 0.1255 0.0412 [8 per cell]

The records above yield calculated formation energy values of 207; 172 meV per atom, respectively.